Computed, not measured: Y4TaRu at its PBEsol-relaxed geometry at the SCAN level of DFT.

Structure (CIF):
```
data_Y4TaRu
_space_group_name_H-M_alt 'F -4 3 m'
_space_group_IT_number 216
_space_group_name_Hall 'F -4 2 3'
_cell_length_a 8.253
_cell_length_b 8.253
_cell_length_c 8.253
_cell_angle_alpha 90.00
_cell_angle_beta 90.00
_cell_angle_gamma 90.00
loop_
_atom_site_label
_atom_site_type_symbol
_atom_site_fract_x
_atom_site_fract_y
_atom_site_fract_z
_atom_site_occupancy
Y1 Y 0.125 0.125 0.125 1
Ta1 Ta 0.250 0.250 0.750 1
Ru1 Ru 0.000 0.000 0.500 1
```

For the density of states at the Fermi level, the calculation gives 1.428 states/eV per atom. The calculated formation energy comes out at 1.071 eV per atom.


Computed, not measured: YTaRu2 at its PBEsol-relaxed geometry at the SCAN level of DFT.

Structure (CIF):
```
data_YTaRu2
_space_group_name_H-M_alt 'P m m 2'
_space_group_IT_number 25
_cell_length_a 3.076
_cell_length_b 4.231
_cell_length_c 5.475
_cell_angle_alpha 90.00
_cell_angle_beta 90.00
_cell_angle_gamma 90.00
loop_
_space_group_symop_operation_xyz
'x,y,z'
'-x,-y,z'
'-x,y,z'
'x,-y,z'
loop_
_atom_site_label
_atom_site_type_symbol
_atom_site_fract_x
_atom_site_fract_y
_atom_site_fract_z
_atom_site_occupancy
Y1 Y 0.000 0.000 0.000 1
Ta1 Ta 0.500 0.500 0.621 1
Ru1 Ru 0.000 0.000 0.504 1
Ru2 Ru 0.500 0.500 0.175 1
```

For the density of states at the Fermi level, the calculation gives 0.739 states/eV per atom. The calculated formation energy comes out at 0.036 eV per atom.


Computed, not measured: YTa2Ru2 at its PBEsol-relaxed geometry at the SCAN level of DFT.

Structure (CIF):
```
data_YTa2Ru2
_space_group_name_H-M_alt 'I 4/m m m'
_space_group_IT_number 139
_space_group_name_Hall '-I 4 2'
_cell_length_a 4.303
_cell_length_b 4.303
_cell_length_c 10.560
_cell_angle_alpha 90.00
_cell_angle_beta 90.00
_cell_angle_gamma 90.00
loop_
_atom_site_label
_atom_site_type_symbol
_atom_site_fract_x
_atom_site_fract_y
_atom_site_fract_z
_atom_site_occupancy
Y1 Y 0.000 0.000 0.000 1
Ta1 Ta 0.000 0.500 0.250 1
Ru1 Ru 0.000 0.000 0.381 1
```

For the density of states at the Fermi level, the calculation gives 0.652 states/eV per atom. The calculated formation energy comes out at -0.419 eV per atom.


Computed, not measured: YTa2Ru at its PBEsol-relaxed geometry at the SCAN level of DFT.

Structure (CIF):
```
data_YTa2Ru
_space_group_name_H-M_alt 'R -3 m'
_space_group_IT_number 166
_space_group_name_Hall '-R 3 2"'
_cell_length_a 3.0263
_cell_length_b 3.0263
_cell_length_c 28.2417
_cell_angle_alpha 90.00
_cell_angle_beta 90.00
_cell_angle_gamma 120.00
loop_
_atom_site_label
_atom_site_type_symbol
_atom_site_fract_x
_atom_site_fract_y
_atom_site_fract_z
_atom_site_occupancy
Y1 Y 0.0000 0.0000 0.0000 1
Ta1 Ta 0.0000 0.0000 0.2391 1
Ru1 Ru 0.0000 0.0000 0.5000 1
```

For the density of states at the Fermi level, the calculation gives 0.727 states/eV per atom. The calculated formation energy comes out at 0.303 eV per atom.